The following is a DFT calculation (PBE) of InGaHgTe after structural relaxation.

## Properties
For the energy above the most stable polymorph in this dataset, the calculation gives 37 meV per atom. Its raw formation energy is -1.9 kJ per mole of atoms.

a = 7.7131 Å, b = 7.7131 Å, c = 7.7131 Å
α = 90.00°, β = 90.00°, γ = 90.00°
Space group F-43m (No. 216)
Unique sites:
In: 0.0000 0.0000 0.0000 (multiplicity 4)
Ga: 0.0000 0.0000 0.5000 (multiplicity 4)
Hg: 0.2500 0.2500 0.2500 (multiplicity 4)
Te: 0.2500 0.2500 0.7500 (multiplicity 4)

***

The following is a DFT calculation (PBE) of InGaHgTe after structural relaxation.

## Properties
For the energy above the most stable polymorph in this dataset, the calculation gives 0 meV per atom. Its raw formation energy is -5.5 kJ per mole of atoms.

a = 7.2373 Å, b = 4.3285 Å, c = 8.8701 Å
α = 90.00°, β = 105.96°, γ = 90.00°
Space group Cm (No. 8)
Unique sites:
In: 0.0000 0.0000 0.0000 (multiplicity 2)
Ga: 0.0989 0.0000 0.3227 (multiplicity 2)
Hg: 0.0980 0.5000 0.8240 (multiplicity 2)
Te: 0.4884 0.0000 0.4762 (multiplicity 2)

***

The following is a DFT calculation (PBE) of Tl2InGaHg6 after structural relaxation.

## Properties
The value obtained for the energy of formation from the pure elements is 0.021 eV per atom.

a = 6.5171 Å, b = 6.5593 Å, c = 6.5716 Å
α = 89.81°, β = 78.88°, γ = 86.37°
Space group P-1 (No. 2)
Unique sites:
Tl: 0.0829 0.2442 0.4001 (multiplicity 2)
In: 0.5000 0.5000 0.5000 (multiplicity 1)
Ga: 0.0000 0.0000 0.0000 (multiplicity 1)
Hg: 0.2125 0.3807 0.9005 (multiplicity 2)
Hg: 0.2888 0.7393 0.1856 (multiplicity 2)
Hg: 0.4050 0.9174 0.7242 (multiplicity 2)

***

The following is a DFT calculation (PBE) of Tl2In2GaHg7 after structural relaxation.

## Properties
The value obtained for the energy of formation from the pure elements is 0.026 eV per atom.

a = 7.3925 Å, b = 6.5026 Å, c = 13.6810 Å
α = 90.00°, β = 90.27°, γ = 90.00°
Space group C2/m (No. 12)
Unique sites:
Tl: 0.0019 0.0000 0.1769 (multiplicity 4)
In: 0.0015 0.5000 0.1985 (multiplicity 4)
Ga: 0.0000 0.0000 0.5000 (multiplicity 2)
Hg: 0.0000 0.5000 0.5000 (multiplicity 2)
Hg: 0.2201 0.5000 0.0002 (multiplicity 4)
Hg: 0.2505 0.2494 0.3510 (multiplicity 8)

***

The following is a DFT calculation (PBE) of TlIn2GaHg8 after structural relaxation.

## Properties
The value obtained for the energy of formation from the pure elements is 0.056 eV per atom.

a = 6.6993 Å, b = 6.6993 Å, c = 8.6707 Å
α = 90.00°, β = 90.00°, γ = 120.00°
Space group P-3m1 (No. 164)
Unique sites:
Tl: 0.0000 0.0000 0.0000 (multiplicity 1)
In: 0.3333 0.6667 0.3707 (multiplicity 2)
Ga: 0.0000 0.0000 0.5000 (multiplicity 1)
Hg: 0.1802 0.3604 0.7133 (multiplicity 6)
Hg: 0.3333 0.6667 0.0242 (multiplicity 2)

***

The following is a DFT calculation (PBE) of TlIn2GaHg5 after structural relaxation.

## Properties
The value obtained for the energy of formation from the pure elements is 0.040 eV per atom.

a = 3.6555 Å, b = 17.7863 Å, c = 15.0830 Å
α = 90.00°, β = 90.00°, γ = 90.00°
Space group Cmc2_1 (No. 36)
Unique sites:
Tl: 0.0000 0.0320 0.0000 (multiplicity 4)
In: 0.0000 0.3518 0.3194 (multiplicity 4)
In: 0.0000 0.3754 0.9418 (multiplicity 4)
Ga: 0.0000 0.2733 0.6364 (multiplicity 4)
Hg: 0.0000 0.0017 0.8016 (multiplicity 4)
Hg: 0.0000 0.1155 0.6316 (multiplicity 4)
Hg: 0.0000 0.1854 0.2864 (multiplicity 4)
Hg: 0.0000 0.2086 0.9838 (multiplicity 4)
Hg: 0.0000 0.4337 0.6632 (multiplicity 4)

***

Number 1: D(E_F) 0.458 states/eV/atom, final energy -2.3217 eV/atom, total magnetic moment 0.00 Bohr magnetons per cell. Number 2: D(E_F) 0.344 states/eV/atom, final energy -2.3591 eV/atom, total magnetic moment 0.00 Bohr magnetons per cell. Number 3: D(E_F) 0.403 states/eV/atom, final energy -1.2094 eV/atom, total magnetic moment 0.00 Bohr magnetons per cell. Number 4: D(E_F) 0.322 states/eV/atom, final energy -1.2536 eV/atom, total magnetic moment 0.00 Bohr magnetons per cell. Number 5: D(E_F) 0.478 states/eV/atom, final energy -1.0509 eV/atom, total magnetic moment 0.00 Bohr magnetons per cell. Number 6: D(E_F) 0.342 states/eV/atom, final energy -1.3353 eV/atom, total magnetic moment 0.00 Bohr magnetons per cell.